This record from Alexandria describes a relaxed structure of LaBeW. The functional is PBE.

Summary:
Total magnetic moment (μB/f.u.): 0.00
Energy of formation from the pure elements (kJ/mol of formula units): 239.0
Calculated volume (Å³ per cell): 55.8

Lattice parameters (Å, degrees): 2.952 2.952 7.390 90.00 90.00 120.00
Fractional positions:
La: 0.000 0.000 0.000
Be: 0.333 0.667 0.643
W: 0.667 0.333 0.392

***

This record from Alexandria describes a relaxed structure of LaBe2W. The functional is PBE.

Summary:
Total magnetic moment (μB/f.u.): 0.00
Energy of formation from the pure elements (kJ/mol of formula units): 243.2
Calculated volume (Å³ per cell): 64.9

Lattice parameters (Å, degrees): 4.782 4.782 4.782 128.65 128.65 75.58
Fractional positions:
La: 0.000 0.000 0.000
Be: 0.250 0.750 0.500
Be: 0.750 0.250 0.500
W: 0.500 0.500 0.000

***

This record from Alexandria describes a relaxed structure of LaBe2W. The functional is PBE.

Summary:
Total magnetic moment (μB/f.u.): 0.00
Energy of formation from the pure elements (kJ/mol of formula units): 151.9
Calculated volume (Å³ per cell): 63.5

Lattice parameters (Å, degrees): 2.870 2.870 7.710 90.00 90.00 90.00
Fractional positions:
La: 0.000 0.000 0.000
Be: 0.500 0.500 0.298
Be: 0.500 0.500 0.702
W: 0.000 0.000 0.500

***

This record from Alexandria describes a relaxed structure of LaBeW. The functional is PBE.

Summary:
Total magnetic moment (μB/f.u.): 2.90
Energy of formation from the pure elements (kJ/mol of formula units): 552.1
Calculated volume (Å³ per cell): 75.6

Lattice parameters (Å, degrees): 4.746 4.746 4.746 60.00 60.00 60.00
Fractional positions:
La: 0.000 0.000 0.000
Be: 0.750 0.750 0.750
W: 0.250 0.250 0.250

***

This record from Alexandria describes a relaxed structure of LaBeW. The functional is PBE.

Summary:
Total magnetic moment (μB/f.u.): 0.56
Energy of formation from the pure elements (kJ/mol of formula units): 200.9
Calculated volume (Å³ per cell): 62.2

Lattice parameters (Å, degrees): 4.145 4.145 4.179 90.00 90.00 120.00
Fractional positions:
La: 0.000 0.000 0.000
Be: 0.333 0.667 0.502
W: 0.667 0.333 0.499

***

This record from Alexandria describes a relaxed structure of LaBe2W. The functional is PBE.

Summary:
Total magnetic moment (μB/f.u.): 0.00
Energy of formation from the pure elements (kJ/mol of formula units): 248.2
Calculated volume (Å³ per cell): 63.6

Lattice parameters (Å, degrees): 4.754 4.754 2.933 90.00 90.00 106.49
Fractional positions:
La: 0.000 0.000 0.000
Be: 0.000 0.500 0.500
Be: 0.500 0.000 0.500
W: 0.500 0.500 0.000

***

This record from Alexandria describes a relaxed structure of LaBe2W. The functional is PBE.

Summary:
Total magnetic moment (μB/f.u.): 0.00
Energy of formation from the pure elements (kJ/mol of formula units): 133.9
Calculated volume (Å³ per cell): 72.5

Lattice parameters (Å, degrees): 4.384 4.384 5.400 108.12 108.12 47.98
Fractional positions:
La: 0.000 0.000 0.000
Be: 0.215 0.215 0.577
Be: 0.785 0.785 0.423
W: 0.500 0.500 0.500

***

This record from Alexandria describes a relaxed structure of LaBe2W2. The functional is PBE.

Summary:
Total magnetic moment (μB/f.u.): 0.00
Energy of formation from the pure elements (kJ/mol of formula units): 214.6
Calculated volume (Å³ per cell): 162.1

Lattice parameters (Å, degrees): 7.698 7.698 2.736 90.00 90.00 90.00
Fractional positions:
La: 0.000 0.000 0.000
La: 0.500 0.500 0.000
Be: 0.168 0.332 0.500
Be: 0.332 0.832 0.500
Be: 0.668 0.168 0.500
Be: 0.832 0.668 0.500
W: 0.119 0.619 0.000
W: 0.381 0.119 0.000
W: 0.619 0.881 0.000
W: 0.881 0.381 0.000

***

This record from Alexandria describes a relaxed structure of LaBe2W. The functional is PBE.

Summary:
Total magnetic moment (μB/f.u.): 0.00
Energy of formation from the pure elements (kJ/mol of formula units): 259.8
Calculated volume (Å³ per cell): 65.1

Lattice parameters (Å, degrees): 5.494 5.494 5.494 150.75 125.87 62.72
Fractional positions:
La: 0.000 0.000 0.000
Be: 0.519 0.519 0.000
Be: 0.715 0.215 0.500
W: 0.289 0.789 0.500

***

This record from Alexandria describes a relaxed structure of LaBeW. The functional is PBE.

Summary:
Total magnetic moment (μB/f.u.): 0.00
Energy of formation from the pure elements (kJ/mol of formula units): 137.7
Calculated volume (Å³ per cell): 58.3

Lattice parameters (Å, degrees): 5.755 5.755 5.755 146.34 146.34 48.35
Fractional positions:
La: 0.000 0.000 0.000
Be: 0.271 0.271 0.000
W: 0.716 0.716 0.000

***

This record from Alexandria describes a relaxed structure of LaBe2W. The functional is PBE.

Summary:
Total magnetic moment (μB/f.u.): 0.98
Energy of formation from the pure elements (kJ/mol of formula units): 265.2
Calculated volume (Å³ per cell): 67.3

Lattice parameters (Å, degrees): 4.566 4.566 4.566 60.00 60.00 60.00
Fractional positions:
La: 0.000 0.000 0.000
Be: 0.250 0.250 0.250
Be: 0.750 0.750 0.750
W: 0.500 0.500 0.500

***

This record from Alexandria describes a relaxed structure of LaBe2W2. The functional is PBE.

Summary:
Total magnetic moment (μB/f.u.): 0.00
Energy of formation from the pure elements (kJ/mol of formula units): 258.1
Calculated volume (Å³ per cell): 86.7

Lattice parameters (Å, degrees): 5.432 5.432 5.432 132.02 132.02 70.19
Fractional positions:
La: 0.000 0.000 0.000
Be: 0.250 0.750 0.500
Be: 0.750 0.250 0.500
W: 0.355 0.355 0.000
W: 0.645 0.645 0.000

***

This record from Alexandria describes a relaxed structure of LaBe3W. The functional is PBE.

Summary:
Total magnetic moment (μB/f.u.): 0.00
Energy of formation from the pure elements (kJ/mol of formula units): 262.7
Calculated volume (Å³ per cell): 90.9

Lattice parameters (Å, degrees): 4.497 4.497 4.497 90.00 90.00 90.00
Fractional positions:
La: 0.000 0.000 0.000
Be: 0.000 0.500 0.500
Be: 0.500 0.000 0.500
Be: 0.500 0.500 0.000
W: 0.500 0.500 0.500

***

This record from Alexandria describes a relaxed structure of LaBe2W. The functional is PBE.

Summary:
Total magnetic moment (μB/f.u.): 0.00
Energy of formation from the pure elements (kJ/mol of formula units): 135.1
Calculated volume (Å³ per cell): 68.3

Lattice parameters (Å, degrees): 3.403 3.492 5.992 90.00 106.41 90.00
Fractional positions:
La: 0.000 0.000 0.000
Be: 0.252 0.000 0.506
Be: 0.350 0.500 0.702
W: 0.712 0.500 0.425

***

This record from Alexandria describes a relaxed structure of LaBe4W. The functional is PBE.

Summary:
Total magnetic moment (μB/f.u.): 0.00
Energy of formation from the pure elements (kJ/mol of formula units): 199.8
Calculated volume (Å³ per cell): 80.2

Lattice parameters (Å, degrees): 4.841 4.841 4.841 60.00 60.00 60.00
Fractional positions:
La: 0.000 0.000 0.000
Be: 0.135 0.622 0.622
Be: 0.622 0.135 0.622
Be: 0.622 0.622 0.135
Be: 0.622 0.622 0.622
W: 0.250 0.250 0.250

***

This record from Alexandria describes a relaxed structure of LaBe2W. The functional is PBE.

Summary:
Total magnetic moment (μB/f.u.): 0.00
Energy of formation from the pure elements (kJ/mol of formula units): 129.5
Calculated volume (Å³ per cell): 69.1

Lattice parameters (Å, degrees): 3.685 3.685 6.244 106.81 106.81 59.84
Fractional positions:
La: 0.000 0.000 0.000
Be: 0.472 0.472 0.421
Be: 0.803 0.803 0.415
W: 0.201 0.201 0.614

***

This record from Alexandria describes a relaxed structure of LaBeW4. The functional is PBE.

Summary:
Total magnetic moment (μB/f.u.): 0.00
Energy of formation from the pure elements (kJ/mol of formula units): 445.3
Calculated volume (Å³ per cell): 115.1

Lattice parameters (Å, degrees): 5.460 5.460 5.460 60.00 60.00 60.00
Fractional positions:
La: 0.000 0.000 0.000
Be: 0.250 0.250 0.250
W: 0.126 0.625 0.625
W: 0.625 0.126 0.625
W: 0.625 0.625 0.126
W: 0.625 0.625 0.625

***

This record from Alexandria describes a relaxed structure of LaBe2W. The functional is PBE.

Summary:
Total magnetic moment (μB/f.u.): 0.00
Energy of formation from the pure elements (kJ/mol of formula units): 394.3
Calculated volume (Å³ per cell): 65.5

Lattice parameters (Å, degrees): 4.524 4.524 4.524 60.00 60.00 60.00
Fractional positions:
La: 0.000 0.000 0.000
Be: 0.250 0.250 0.250
Be: 0.500 0.500 0.500
W: 0.750 0.750 0.750

***

This record from Alexandria describes a relaxed structure of LaBe2W. The functional is PBE.

Summary:
Total magnetic moment (μB/f.u.): 0.00
Energy of formation from the pure elements (kJ/mol of formula units): 260.7
Calculated volume (Å³ per cell): 155.1

Lattice parameters (Å, degrees): 8.968 8.968 8.968 152.34 152.34 39.51
Fractional positions:
La: 0.375 0.625 0.750
La: 0.625 0.375 0.250
Be: 0.000 0.000 0.000
Be: 0.000 0.000 0.500
Be: 0.000 0.500 0.000
Be: 0.500 0.000 0.500
W: 0.125 0.875 0.250
W: 0.875 0.125 0.750

***

This record from Alexandria describes a relaxed structure of LaBeW. The functional is PBE.

Summary:
Total magnetic moment (μB/f.u.): 0.00
Energy of formation from the pure elements (kJ/mol of formula units): 279.5
Calculated volume (Å³ per cell): 61.0

Lattice parameters (Å, degrees): 4.418 4.418 4.418 60.00 60.00 60.00
Fractional positions:
La: 0.000 0.000 0.000
Be: 0.750 0.750 0.750
W: 0.500 0.500 0.500

***

This record from Alexandria describes a relaxed structure of LaBe2W. The functional is PBE.

Summary:
Total magnetic moment (μB/f.u.): 0.00
Energy of formation from the pure elements (kJ/mol of formula units): 172.8
Calculated volume (Å³ per cell): 62.7

Lattice parameters (Å, degrees): 2.826 2.826 7.854 90.00 90.00 90.00
Fractional positions:
La: 0.000 0.000 0.000
Be: 0.000 0.000 0.566
Be: 0.500 0.500 0.691
W: 0.500 0.500 0.355

***

This record from Alexandria describes a relaxed structure of LaBe2W. The functional is PBE.

Summary:
Total magnetic moment (μB/f.u.): 0.51
Energy of formation from the pure elements (kJ/mol of formula units): 284.8
Calculated volume (Å³ per cell): 67.5

Lattice parameters (Å, degrees): 9.108 9.108 9.108 18.65 18.65 18.65
Fractional positions:
La: 0.000 0.000 0.000
Be: 0.236 0.236 0.236
Be: 0.764 0.764 0.764
W: 0.500 0.500 0.500

***

This record from Alexandria describes a relaxed structure of LaY2Be. The functional is PBE.

Summary:
Total magnetic moment (μB/f.u.): 0.00
Energy of formation from the pure elements (kJ/mol of formula units): 72.5
Calculated volume (Å³ per cell): 114.6

Lattice parameters (Å, degrees): 10.233 10.233 10.233 20.46 20.46 20.46
Fractional positions:
La: 0.000 0.000 0.000
Y: 0.231 0.231 0.231
Y: 0.769 0.769 0.769
Be: 0.500 0.500 0.500

***

This record from Alexandria describes a relaxed structure of LaY2Be. The functional is PBE.

Summary:
Total magnetic moment (μB/f.u.): 0.00
Energy of formation from the pure elements (kJ/mol of formula units): 102.0
Calculated volume (Å³ per cell): 112.9

Lattice parameters (Å, degrees): 3.767 4.919 6.377 90.00 107.18 90.00
Fractional positions:
La: 0.000 0.000 0.000
Y: 0.282 0.000 0.567
Y: 0.677 0.500 0.355
Be: 0.401 0.500 0.805

***

This record from Alexandria describes a relaxed structure of LaY2Be. The functional is PBE.

Summary:
Total magnetic moment (μB/f.u.): 0.00
Energy of formation from the pure elements (kJ/mol of formula units): 128.1
Calculated volume (Å³ per cell): 108.4

Lattice parameters (Å, degrees): 5.951 5.951 5.951 133.68 133.68 67.58
Fractional positions:
La: 0.000 0.000 0.000
Y: 0.250 0.750 0.500
Y: 0.750 0.250 0.500
Be: 0.500 0.500 0.000

***

This record from Alexandria describes a relaxed structure of LaY2Be. The functional is PBE.

Summary:
Total magnetic moment (μB/f.u.): 0.00
Energy of formation from the pure elements (kJ/mol of formula units): 24.5
Calculated volume (Å³ per cell): 109.1

Lattice parameters (Å, degrees): 3.481 3.481 9.007 90.00 90.00 90.00
Fractional positions:
La: 0.000 0.000 0.000
Y: 0.500 0.500 0.317
Y: 0.500 0.500 0.683
Be: 0.000 0.000 0.500

***

This record from Alexandria describes a relaxed structure of LaY2Be. The functional is PBE.

Summary:
Total magnetic moment (μB/f.u.): 0.00
Energy of formation from the pure elements (kJ/mol of formula units): 110.6
Calculated volume (Å³ per cell): 108.4

Lattice parameters (Å, degrees): 4.749 4.749 4.808 90.00 90.00 90.00
Fractional positions:
La: 0.000 0.000 0.000
Y: 0.000 0.500 0.500
Y: 0.500 0.000 0.500
Be: 0.500 0.500 0.000

***

This record from Alexandria describes a relaxed structure of LaY2Be. The functional is PBE.

Summary:
Total magnetic moment (μB/f.u.): 0.00
Energy of formation from the pure elements (kJ/mol of formula units): 109.8
Calculated volume (Å³ per cell): 106.6

Lattice parameters (Å, degrees): 5.858 5.858 5.858 132.70 132.70 69.12
Fractional positions:
La: 0.000 0.000 0.000
Y: 0.250 0.750 0.500
Y: 0.500 0.500 0.000
Be: 0.750 0.250 0.500

***

This record from Alexandria describes a relaxed structure of LaY2Be. The functional is PBE.

Summary:
Total magnetic moment (μB/f.u.): 0.00
Energy of formation from the pure elements (kJ/mol of formula units): 143.8
Calculated volume (Å³ per cell): 106.6

Lattice parameters (Å, degrees): 5.360 5.360 3.710 90.00 90.00 90.10
Fractional positions:
La: 0.000 0.000 0.000
Y: 0.000 0.500 0.500
Y: 0.500 0.000 0.500
Be: 0.500 0.500 0.000

***

This record from Alexandria describes a relaxed structure of LaY2Be. The functional is PBE.

Summary:
Total magnetic moment (μB/f.u.): 0.00
Energy of formation from the pure elements (kJ/mol of formula units): 40.4
Calculated volume (Å³ per cell): 111.1

Lattice parameters (Å, degrees): 3.565 3.565 8.738 90.00 90.00 90.00
Fractional positions:
La: 0.000 0.000 0.000
Y: 0.000 0.000 0.612
Y: 0.500 0.500 0.318
Be: 0.500 0.500 0.784